First-principles (PBE-GGA) data for a relaxed NaAl2Sb2 crystal, as listed in the Alexandria database.

The energy above the most stable polymorph in this dataset comes out at 0 meV per atom. Its total magnetization is 0.00 μB per formula unit.

The space group is I4/mmm (No. 139) and the conventional cell measures 4.464, 4.464 and 14.600 Å, with angles of 90.00, 90.00 and 90.00 degrees. Symmetry generates all atoms from Na at (0.000, 0.000, 0.000), Al at (0.000, 0.500, 0.250) and Sb at (0.000, 0.000, 0.365).



First-principles (PBE-GGA) data for a relaxed NaAl3Sb crystal, as listed in the Alexandria database.

The energy above the most stable polymorph in this dataset comes out at 0 meV per atom. Its total magnetization is 0.00 μB per formula unit.

The space group is Pm-3m (No. 221) and the conventional cell measures 5.464, 5.464 and 5.464 Å, with angles of 90.00, 90.00 and 90.00 degrees. Symmetry generates all atoms from Na at (0.000, 0.000, 0.000), Al at (0.000, 0.500, 0.500) and Sb at (0.500, 0.500, 0.500).



First-principles (PBE-GGA) data for a relaxed Na2AlSb2 crystal, as listed in the Alexandria database.

The energy above the most stable polymorph in this dataset comes out at 8 meV per atom. Its total magnetization is 0.00 μB per formula unit.

The space group is Ibam (No. 72) and the conventional cell measures 7.426, 12.759 and 6.324 Å, with angles of 90.00, 90.00 and 90.00 degrees. Symmetry generates all atoms from Na at (0.151, 0.131, 0.000), Al at (0.000, 0.500, 0.250) and Sb at (0.213, 0.379, 0.000).



First-principles (PBE-GGA) data for a relaxed NaAlSb2 crystal, as listed in the Alexandria database.

The calculation puts the total energy at -54.4 eV/cell. Its total magnetization is 0.00 μB per formula unit.

The space group is P2/c (No. 13) and the conventional cell measures 6.786, 6.745 and 10.851 Å, with angles of 90.00, 102.11 and 90.00 degrees. Symmetry generates all atoms from Na at (0.168, 0.176, 0.119), Al at (0.424, 0.408, 0.864), Sb at (0.162, 0.332, 0.643) and Sb at (0.361, 0.212, 0.433).



First-principles (PBE-GGA) data for a relaxed Na2AlSb2 crystal, as listed in the Alexandria database.

The energy above the most stable polymorph in this dataset comes out at 361 meV per atom. Its total magnetization is 0.00 μB per formula unit.

The space group is I4/mmm (No. 139) and the conventional cell measures 4.901, 4.901 and 13.008 Å, with angles of 90.00, 90.00 and 90.00 degrees. Symmetry generates all atoms from Na at (0.000, 0.500, 0.250), Al at (0.000, 0.000, 0.000) and Sb at (0.000, 0.000, 0.397).



First-principles (PBE-GGA) data for a relaxed Na7Al2Sb5 crystal, as listed in the Alexandria database.

The calculation puts the total energy at -85.5 eV/cell. Its total magnetization is 0.00 μB per formula unit.

The space group is P2_1/m (No. 11) and the conventional cell measures 7.781, 13.698 and 8.245 Å, with angles of 90.00, 118.02 and 90.00 degrees. Symmetry generates all atoms from Na at (0.061, 0.250, 0.259), Na at (0.269, 0.250, 0.854), Na at (0.309, 0.577, 0.884), Na at (0.390, 0.076, 0.583), Na at (0.400, 0.750, 0.595), Al at (0.087, 0.588, 0.161), Sb at (0.030, 0.602, 0.464), Sb at (0.276, 0.079, 0.150) and Sb at (0.302, 0.750, 0.163).



First-principles (PBE-GGA) data for a relaxed NaAlSb2 crystal, as listed in the Alexandria database.

The calculation puts the total energy at -55.3 eV/cell. Its total magnetization is 0.00 μB per formula unit.

The space group is I-42d (No. 122) and the conventional cell measures 8.151, 8.151 and 6.478 Å, with angles of 90.00, 90.00 and 90.00 degrees. Symmetry generates all atoms from Na at (0.000, 0.000, 0.000), Al at (0.000, 0.000, 0.500) and Sb at (0.205, 0.250, 0.625).



First-principles (PBE-GGA) data for a relaxed Na3AlSb crystal, as listed in the Alexandria database.

The energy above the most stable polymorph in this dataset comes out at 0 meV per atom. Its total magnetization is 0.00 μB per formula unit.

The space group is Pm-3m (No. 221) and the conventional cell measures 5.847, 5.847 and 5.847 Å, with angles of 90.00, 90.00 and 90.00 degrees. Symmetry generates all atoms from Na at (0.000, 0.000, 0.500), Al at (0.500, 0.500, 0.500) and Sb at (0.000, 0.000, 0.000).



First-principles (PBE-GGA) data for a relaxed Na2Al2Sb3 crystal, as listed in the Alexandria database.

The energy above the most stable polymorph in this dataset comes out at 54 meV per atom. Its total magnetization is 0.00 μB per formula unit.

The space group is C2/m (No. 12) and the conventional cell measures 17.578, 4.512 and 12.389 Å, with angles of 90.00, 125.48 and 90.00 degrees. Symmetry generates all atoms from Na at (0.111, 0.000, 0.471), Na at (0.234, 0.000, 0.829), Al at (0.032, 0.500, 0.800), Al at (0.083, 0.000, 0.155), Sb at (0.083, 0.500, 0.631), Sb at (0.111, 0.000, 0.958) and Sb at (0.154, 0.500, 0.309).



First-principles (PBE-GGA) data for a relaxed Na3AlSb crystal, as listed in the Alexandria database.

The energy above the most stable polymorph in this dataset comes out at 219 meV per atom. Its total magnetization is 0.00 μB per formula unit.

The space group is Pm-3m (No. 221) and the conventional cell measures 5.547, 5.547 and 5.547 Å, with angles of 90.00, 90.00 and 90.00 degrees. Symmetry generates all atoms from Na at (0.000, 0.000, 0.500), Al at (0.000, 0.000, 0.000) and Sb at (0.500, 0.500, 0.500).



First-principles (PBE-GGA) data for a relaxed NaAl2Sb2 crystal, as listed in the Alexandria database.

The energy above the most stable polymorph in this dataset comes out at 44 meV per atom. Its total magnetization is 0.00 μB per formula unit.

The space group is I4/mmm (No. 139) and the conventional cell measures 5.182, 5.182 and 9.928 Å, with angles of 90.00, 90.00 and 90.00 degrees. Symmetry generates all atoms from Na at (0.000, 0.000, 0.000), Al at (0.000, 0.000, 0.370) and Sb at (0.000, 0.500, 0.250).



First-principles (PBE-GGA) data for a relaxed NaAl2Sb2 crystal, as listed in the Alexandria database.

The energy above the most stable polymorph in this dataset comes out at 137 meV per atom. Its total magnetization is 0.00 μB per formula unit.

The space group is P4/mbm (No. 127) and the conventional cell measures 8.031, 8.031 and 3.799 Å, with angles of 90.00, 90.00 and 90.00 degrees. Symmetry generates all atoms from Na at (0.000, 0.000, 0.000), Al at (0.132, 0.368, 0.500) and Sb at (0.155, 0.655, 0.000).